(1)
Density functional theory data (GGA-PBE) for a geometry-optimized MnTe2ICl structure.

```
MnTe2ICl
1.0
5.499 0.000 0.000
0.000 5.499 0.000
0.000 0.000 5.520
I Te Mn Cl
1 2 1 1
Direct
0.000 0.000 0.500 I
0.000 0.500 0.000 Te
0.500 0.000 0.000 Te
0.500 0.500 0.500 Mn
0.000 0.000 0.000 Cl
```

Properties
As for the total magnetic moment: 1.017 μB per atom. The energy above the lowest structure with this stoichiometry comes out at 0.527 eV per atom. The calculation puts the total energy at -14.559 eV/f.u. Its space group is P4/mmm (123). The density of states at the Fermi level is 4.289 states/eV/f.u. Its uncorrected formation energy is 858 meV/atom.

(2)
Density functional theory data (GGA-PBE) for a geometry-optimized MnTeICl2 structure.

```
MnTeICl2
1.0
5.172 0.000 0.000
0.000 5.836 0.000
0.000 0.000 5.172
I Te Mn Cl
1 1 1 2
Direct
0.500 0.500 0.500 I
0.000 0.000 0.000 Te
0.000 0.500 0.000 Mn
0.000 0.000 0.500 Cl
0.500 0.000 0.000 Cl
```

Properties
As for the total magnetic moment: 0.968 μB per atom. The calculation puts the total energy at -17.449 eV/f.u. Its space group is P4/mmm (123). The density of states at the Fermi level is 1.557 states/eV/f.u. Its uncorrected formation energy is 21 meV/atom.

(3)
Density functional theory data (GGA-PBE) for a geometry-optimized MnTlICl2 structure.

```
MnTlICl2
1.0
5.357 0.000 0.000
0.000 8.083 -0.836
0.000 -1.174 8.975
Mn Tl I Cl
2 2 2 4
Direct
0.250 0.927 0.847 Mn
0.750 0.073 0.153 Mn
0.750 0.282 0.620 Tl
0.250 0.718 0.380 Tl
0.750 0.410 0.271 I
0.250 0.590 0.729 I
0.750 0.963 0.883 Cl
0.250 0.037 0.117 Cl
0.250 0.072 0.653 Cl
0.750 0.928 0.347 Cl
```

Properties
As for the total magnetic moment: 1.000 μB per atom. The energy above the lowest structure with this stoichiometry comes out at 0.000 eV per atom. The calculation puts the total energy at -21.166 eV/f.u. Its space group is P2_1/m (11). The density of states at the Fermi level is 0.000 states/eV/f.u. Its uncorrected formation energy is -877 meV/atom.

(4)
Density functional theory data (GGA-PBE) for a geometry-optimized MnTlICl2 structure.

```
MnTlICl2
1.0
5.025 0.000 0.000
0.000 5.025 0.000
0.000 0.000 5.916
I Tl Mn Cl
1 1 1 2
Direct
0.000 0.000 0.500 I
0.500 0.500 0.500 Tl
0.000 0.000 0.000 Mn
0.000 0.500 0.000 Cl
0.500 0.000 0.000 Cl
```

Properties
As for the total magnetic moment: 1.000 μB per atom. The energy above the lowest structure with this stoichiometry comes out at 0.045 eV per atom. The calculation puts the total energy at -20.942 eV/f.u. Its space group is P4/mmm (123). Its uncorrected formation energy is -833 meV/atom.

(5)
Density functional theory data (GGA-PBE) for a geometry-optimized MoICl structure.

```
MoICl
1.0
-1.704 1.068 -2.838
2.411 -6.280 -3.869
-6.852 2.755 5.209
Cl Mo I
2 2 2
Direct
0.503 0.001 0.200 Cl
0.497 0.999 0.800 Cl
0.000 0.000 0.000 Mo
0.500 0.500 0.500 Mo
0.996 0.551 0.291 I
0.004 0.449 0.709 I
```

Properties
As for the total magnetic moment: 0.000 μB per atom. The energy above the lowest structure with this stoichiometry comes out at 0.287 eV per atom. The calculation puts the total energy at -14.373 eV/f.u. Its space group is P-1 (2). The density of states at the Fermi level is 1.608 states/eV/f.u. Its uncorrected formation energy is -48 meV/atom.

(6)
Density functional theory data (GGA-PBE) for a geometry-optimized MoICl2 structure.

```
MoICl2
1.0
0.000 3.611 3.611
3.611 0.000 3.611
3.611 3.611 0.000
I Mo Cl
1 1 2
Direct
0.500 0.500 0.500 I
0.000 0.000 0.000 Mo
0.250 0.250 0.250 Cl
0.750 0.750 0.750 Cl
```

Properties
As for the total magnetic moment: 0.750 μB per atom. The energy above the lowest structure with this stoichiometry comes out at 0.588 eV per atom. The calculation puts the total energy at -13.210 eV/f.u. Its space group is Fm-3m (225). The density of states at the Fermi level is 1.778 states/eV/f.u. Its uncorrected formation energy is 716 meV/atom.

(7)
Density functional theory data (GGA-PBE) for a geometry-optimized MoICl3 structure.

```
MoICl3
1.0
6.776 0.012 0.784
3.405 5.905 0.112
4.244 -2.286 8.904
Mo I Cl
2 2 6
Direct
0.103 0.906 0.685 Mo
0.431 0.242 0.685 Mo
0.667 0.624 0.786 I
0.341 0.767 0.113 I
0.338 0.098 0.506 Cl
0.058 0.657 0.871 Cl
0.586 0.186 0.867 Cl
0.107 0.133 0.871 Cl
0.553 0.490 0.506 Cl
0.947 0.880 0.505 Cl
```

Properties
As for the total magnetic moment: 0.600 μB per atom. The energy above the lowest structure with this stoichiometry comes out at 0.245 eV per atom. The calculation puts the total energy at -19.911 eV/f.u. Its space group is P1 (1). Its uncorrected formation energy is -398 meV/atom.

(8)
Density functional theory data (GGA-PBE) for a geometry-optimized MoI2Cl8 structure.

```
MoI2Cl8
1.0
7.525 0.715 1.218
1.131 7.635 4.061
0.860 1.564 8.412
Mo I Cl
1 2 8
Direct
0.000 0.000 0.000 Mo
0.454 0.756 0.754 I
0.546 0.244 0.246 I
0.014 0.880 0.324 Cl
0.014 0.315 0.889 Cl
0.986 0.120 0.676 Cl
0.437 0.400 0.411 Cl
0.986 0.685 0.111 Cl
0.328 0.936 0.946 Cl
0.672 0.064 0.054 Cl
0.563 0.600 0.589 Cl
```

Properties
As for the total magnetic moment: 0.038 μB per atom. The calculation puts the total energy at -34.105 eV/f.u. Its space group is P-1 (2). The density of states at the Fermi level is 5.626 states/eV/f.u. Its uncorrected formation energy is -491 meV/atom.

(9)
Density functional theory data (GGA-PBE) for a geometry-optimized MoICl5 structure.

```
MoICl5
1.0
4.991 -1.018 12.543
10.590 1.021 8.372
2.694 4.072 14.253
Mo I Cl
2 2 10
Direct
0.000 0.000 0.000 Mo
0.500 0.000 0.500 Mo
0.458 0.708 0.250 I
0.542 0.292 0.750 I
0.020 0.723 0.183 Cl
0.168 0.063 0.392 Cl
0.595 0.798 0.683 Cl
0.825 0.075 0.250 Cl
0.955 0.560 0.108 Cl
0.045 0.440 0.892 Cl
0.175 0.925 0.750 Cl
0.405 0.202 0.317 Cl
0.832 0.937 0.608 Cl
0.980 0.277 0.817 Cl
```

Properties
As for the total magnetic moment: 0.300 μB per atom. The calculation puts the total energy at -25.296 eV/f.u. Its space group is C2/c (15). The density of states at the Fermi level is 3.510 states/eV/f.u. Its uncorrected formation energy is -526 meV/atom.

(10)
Density functional theory data (GGA-PBE) for a geometry-optimized MoI2Cl2 structure.

```
MoI2Cl2
1.0
-4.744 -5.509 1.387
1.554 -4.857 5.631
-4.896 0.730 5.763
Mo I Cl
2 4 4
Direct
0.297 0.000 0.000 Mo
0.703 0.000 0.000 Mo
0.180 0.819 0.819 I
0.820 0.181 0.181 I
0.719 0.780 0.780 I
0.281 0.220 0.220 I
0.275 0.728 0.272 Cl
0.275 0.272 0.728 Cl
0.725 0.728 0.272 Cl
0.725 0.272 0.728 Cl
```

Properties
As for the total magnetic moment: 0.204 μB per atom. The calculation puts the total energy at -20.163 eV/f.u. Its space group is C2/m (12). The density of states at the Fermi level is 2.725 states/eV/f.u. Its uncorrected formation energy is -508 meV/atom.

(11)
Density functional theory data (GGA-PBE) for a geometry-optimized MoI3Cl structure.

```
MoI3Cl
1.0
-1.845 -1.627 -5.193
5.383 0.257 -1.993
0.796 -5.505 1.442
I Mo Cl
3 1 1
Direct
0.000 0.500 0.000 I
0.000 0.000 0.500 I
0.500 0.000 0.000 I
0.500 0.500 0.500 Mo
0.000 0.000 0.000 Cl
```

Properties
As for the total magnetic moment: 0.966 μB per atom. The energy above the lowest structure with this stoichiometry comes out at 0.882 eV per atom. The calculation puts the total energy at -11.687 eV/f.u. Its space group is Pm-3m (221). The density of states at the Fermi level is 11.076 states/eV/f.u. Its uncorrected formation energy is 1128 meV/atom.

(12)
Density functional theory data (GGA-PBE) for a geometry-optimized Mo2ICl8 structure.

```
Mo2ICl8
1.0
6.958 -0.004 -0.370
-2.478 6.502 -0.370
-0.054 -0.078 8.802
Mo I Cl
2 1 8
Direct
0.880 0.880 0.299 Mo
0.120 0.120 0.701 Mo
0.000 0.000 0.000 I
0.871 0.261 0.696 Cl
0.739 0.129 0.304 Cl
0.804 0.804 0.554 Cl
0.196 0.196 0.446 Cl
0.261 0.871 0.696 Cl
0.129 0.739 0.304 Cl
0.606 0.606 0.202 Cl
0.394 0.394 0.798 Cl
```

Properties
As for the total magnetic moment: 0.273 μB per atom. The calculation puts the total energy at -45.499 eV/f.u. Its space group is C2/m (12). The density of states at the Fermi level is 7.132 states/eV/f.u. Its uncorrected formation energy is -683 meV/atom.